The following is a GGA-PBE calculation of crystalline CePmP2 at its relaxed geometry, from Alexandria.

a b c (Å): 4.0908 4.0908 13.4583
angles (deg): 90.00 90.00 120.00
Last column: nearest neighbours and their distance in Å.
Space group P6_3/mmc (No. 194)
Inequivalent atoms, fractional coordinates:
1 Ce 0.0000 0.0000 0.0000 (multiplicity 2)  6 P 2.86
2 Pm 0.3333 0.6667 0.2500 (multiplicity 2)  6 P 2.94
3 P 0.3333 0.6667 0.6204 (multiplicity 4)  3 Ce 2.86, 3 Pm 2.94

crystal system	hexagonal
formation enthalpy at 0 K	-1.4993	eV/atom
energy above the lowest structure with this stoichiometry	41	meV/atom
density	5.91	g/cm3

=====

The following is a GGA-PBE calculation of crystalline CePm4P5 at its relaxed geometry, from Alexandria.

a b c (Å): 9.2090 9.2090 5.8262
angles (deg): 90.00 90.00 90.00
Last column: nearest neighbours and their distance in Å.
Space group I4/m (No. 87)
Inequivalent atoms, fractional coordinates:
1 Ce 0.0000 0.0000 0.0000 (multiplicity 2)  6 P 2.87-2.91
2 Pm 0.0994 0.3009 0.5000 (multiplicity 8)  6 P 2.90-2.95
3 P 0.0000 0.0000 0.5000 (multiplicity 2)  2 Ce 2.91, 4 Pm 2.92
4 P 0.0979 0.2954 0.0000 (multiplicity 8)  1 Ce 2.87, 5 Pm 2.90-2.95

crystal system	tetragonal
formation enthalpy at 0 K	-1.5612	eV/atom
density	5.88	g/cm3

=====

The following is a GGA-PBE calculation of crystalline CePmP2 at its relaxed geometry, from Alexandria.

a b c (Å): 7.0472 7.0472 7.0472
angles (deg): 90.00 90.00 90.00
Last column: nearest neighbours and their distance in Å.
Space group Fm-3m (No. 225)
Inequivalent atoms, fractional coordinates:
1 Ce 0.0000 0.0000 0.0000 (multiplicity 4)  8 P 3.05
2 Pm 0.0000 0.0000 0.5000 (multiplicity 4)  8 P 3.05
3 P 0.2500 0.2500 0.2500 (multiplicity 8)  4 Ce 3.05, 4 Pm 3.05

crystal system	cubic
formation enthalpy at 0 K	-1.1211	eV/atom
energy above the lowest structure with this stoichiometry	419	meV/atom
density	6.59	g/cm3

=====

The following is a GGA-PBE calculation of crystalline CePm3P4 at its relaxed geometry, from Alexandria.

a b c (Å): 7.1306 8.2302 7.1320
angles (deg): 90.00 109.46 90.00
Last column: nearest neighbours and their distance in Å.
Space group P2/c (No. 13)
Inequivalent atoms, fractional coordinates:
1 Ce 0.0000 0.1258 0.2500 (multiplicity 2)  6 P 2.87-2.89
2 Pm 0.0000 0.3761 0.7500 (multiplicity 2)  6 P 2.91-2.92
3 Pm 0.5000 0.1260 0.7500 (multiplicity 2)  6 P 2.90-2.95
4 Pm 0.5000 0.3763 0.2500 (multiplicity 2)  6 P 2.90-2.95
5 P 0.2446 0.1223 0.0009 (multiplicity 4)  2 Ce 2.87-2.89, 4 Pm 2.91-2.95
6 P 0.2482 0.3719 0.4967 (multiplicity 4)  1 Ce 2.87, 5 Pm 2.90-2.94

crystal system	monoclinic
formation enthalpy at 0 K	-1.5597	eV/atom
energy above the lowest structure with this stoichiometry	0	meV/atom
density	5.88	g/cm3

=====

The following is a GGA-PBE calculation of crystalline CePmP2 at its relaxed geometry, from Alexandria.

a b c (Å): 4.1081 4.1081 20.1231
angles (deg): 90.00 90.00 120.00
Last column: nearest neighbours and their distance in Å.
Space group R-3m (No. 166, hexagonal axes)
Inequivalent atoms, fractional coordinates:
1 Ce 0.0000 0.0000 0.0000 (multiplicity 3)  6 P 2.88
2 Pm 0.0000 0.0000 0.5000 (multiplicity 3)  6 P 2.93
3 P 0.0000 0.0000 0.2518 (multiplicity 6)  3 Ce 2.88, 3 Pm 2.93

crystal system	trigonal
formation enthalpy at 0 K	-1.5402	eV/atom
energy above the lowest structure with this stoichiometry	0	meV/atom
density	5.88	g/cm3

=====

The following is a GGA-PBE calculation of crystalline Ce5Pm3P8 at its relaxed geometry, from Alexandria.

a b c (Å): 8.2082 8.2082 20.1010
angles (deg): 90.00 90.00 120.00
Last column: nearest neighbours and their distance in Å.
Space group R-3m (No. 166, hexagonal axes)
Inequivalent atoms, fractional coordinates:
1 Ce 0.0000 0.0000 0.0000 (multiplicity 3)  6 P 2.90
2 Ce 0.0000 0.0000 0.5000 (multiplicity 3)  6 P 2.90
3 Ce 0.0000 0.5000 0.0000 (multiplicity 9)  6 P 2.88
4 Pm 0.0000 0.5000 0.5000 (multiplicity 9)  6 P 2.92-2.93
5 P 0.0000 0.0000 0.2520 (multiplicity 6)  3 Ce 2.88, 3 Pm 2.93
6 P 0.0023 0.5011 0.2511 (multiplicity 18)  4 Ce 2.88-2.90, 2 Pm 2.92

crystal system	trigonal
formation enthalpy at 0 K	-1.5277	eV/atom
density	5.88	g/cm3

=====

The following is a GGA-PBE calculation of crystalline Ce2Pm2P5 at its relaxed geometry, from Alexandria.

a b c (Å): 14.0684 7.6438 7.6825
angles (deg): 90.00 90.00 90.00
Last column: nearest neighbours and their distance in Å.
Space group Cmce (No. 64)
Inequivalent atoms, fractional coordinates:
1 Ce 0.1956 0.0000 0.0000 (multiplicity 8)  7 P 2.75-3.02
2 Pm 0.0000 0.1566 0.3406 (multiplicity 8)  8 P 2.85-3.12
3 P 0.0000 0.0000 0.0000 (multiplicity 4)  2 Ce 2.75, 4 Pm 2.88-2.90
4 P 0.1421 0.1555 0.6526 (multiplicity 16)  3 Ce 2.83-3.02, 3 Pm 2.85-3.12

crystal system	orthorhombic
formation enthalpy at 0 K	-1.2225	eV/atom
density	5.83	g/cm3

=====

The following is a GGA-PBE calculation of crystalline Ce3Pm2PrP6 at its relaxed geometry, from Alexandria.

a b c (Å): 7.1353 12.3602 7.1362
angles (deg): 90.00 109.47 90.00
Last column: nearest neighbours and their distance in Å.
Space group C2/m (No. 12)
Inequivalent atoms, fractional coordinates:
1 Ce 0.0000 0.0000 0.0000 (multiplicity 2)  6 P 2.87-2.89
2 Ce 0.0000 0.3337 0.0000 (multiplicity 4)  6 P 2.87-2.89
3 Pm 0.0000 0.1668 0.5000 (multiplicity 4)  6 P 2.93
4 Pr 0.0000 0.5000 0.5000 (multiplicity 2)  6 P 2.95-2.96
5 P 0.2463 0.1679 0.2427 (multiplicity 8)  3 Ce 2.87-2.89, 2 Pm 2.93, 1 Pr 2.96
6 P 0.2499 0.0000 0.7570 (multiplicity 4)  3 Ce 2.87-2.89, 2 Pm 2.93, 1 Pr 2.95

crystal system	monoclinic
formation enthalpy at 0 K	-1.5313	eV/atom
density	5.80	g/cm3

=====

The following is a GGA-PBE calculation of crystalline Ce3PmPr2P6 at its relaxed geometry, from Alexandria.

a b c (Å): 7.1553 12.3950 7.1585
angles (deg): 90.00 109.47 90.00
Last column: nearest neighbours and their distance in Å.
Space group C2/m (No. 12)
Inequivalent atoms, fractional coordinates:
1 Ce 0.0000 0.0000 0.0000 (multiplicity 2)  6 P 2.88-2.90
2 Ce 0.0000 0.3329 0.0000 (multiplicity 4)  6 P 2.88-2.90
3 Pm 0.0000 0.5000 0.5000 (multiplicity 2)  6 P 2.94
4 Pr 0.0000 0.1665 0.5000 (multiplicity 4)  6 P 2.96
5 P 0.2444 0.5000 0.2409 (multiplicity 4)  3 Ce 2.88-2.90, 1 Pm 2.94, 2 Pr 2.96
6 P 0.2484 0.1655 0.2413 (multiplicity 8)  3 Ce 2.88-2.90, 1 Pm 2.94, 2 Pr 2.96

crystal system	monoclinic
formation enthalpy at 0 K	-1.5233	eV/atom
density	5.73	g/cm3

=====

The following is a GGA-PBE calculation of crystalline CePm3Pu2P6 at its relaxed geometry, from Alexandria.

a b c (Å): 7.0674 12.2383 7.0580
angles (deg): 90.00 109.50 90.00
Last column: nearest neighbours and their distance in Å.
Space group C2/m (No. 12)
Inequivalent atoms, fractional coordinates:
1 Ce 0.0000 0.0000 0.0000 (multiplicity 2)  6 P 2.86
2 Pm 0.0000 0.1660 0.5000 (multiplicity 4)  6 P 2.91-2.93
3 Pm 0.0000 0.5000 0.5000 (multiplicity 2)  6 P 2.90-2.93
4 Pu 0.0000 0.3332 0.0000 (multiplicity 4)  6 P 2.83
5 P 0.2428 0.5000 0.2394 (multiplicity 4)  2 Pu 2.83, 1 Ce 2.86, 3 Pm 2.90-2.93
6 P 0.2483 0.1684 0.2396 (multiplicity 8)  2 Pu 2.83, 1 Ce 2.86, 3 Pm 2.91-2.93

crystal system	monoclinic
formation enthalpy at 0 K	-1.4137	eV/atom
density	7.21	g/cm3

=====

The following is a GGA-PBE calculation of crystalline Ce2Pm3PuP6 at its relaxed geometry, from Alexandria.

a b c (Å): 17.8481 4.0964 8.1812
angles (deg): 90.00 103.28 90.00
Last column: nearest neighbours and their distance in Å.
Space group C2/m (No. 12)
Inequivalent atoms, fractional coordinates:
1 Ce 0.1657 0.0000 0.3316 (multiplicity 4)  6 P 2.86-2.88
2 Pm 0.0000 0.5000 0.5000 (multiplicity 2)  6 P 2.92-2.94
3 Pm 0.1668 0.0000 0.8340 (multiplicity 4)  6 P 2.91-2.93
4 Pu 0.0000 0.5000 0.0000 (multiplicity 2)  6 P 2.85-2.86
5 P 0.0010 0.0000 0.2424 (multiplicity 4)  2 Pu 2.85, 1 Ce 2.86, 3 Pm 2.92-2.94
6 P 0.1644 0.5000 0.0862 (multiplicity 4)  1 Pu 2.86, 2 Ce 2.86, 3 Pm 2.91-2.93
7 P 0.1683 0.5000 0.5799 (multiplicity 4)  3 Ce 2.88, 3 Pm 2.92

crystal system	monoclinic
formation enthalpy at 0 K	-1.4767	eV/atom
density	6.53	g/cm3

=====

The following is a GGA-PBE calculation of crystalline Ce3PmPu2P6 at its relaxed geometry, from Alexandria.

a b c (Å): 7.0472 12.2073 7.0313
angles (deg): 90.00 109.53 90.00
Last column: nearest neighbours and their distance in Å.
Space group C2/m (No. 12)
Inequivalent atoms, fractional coordinates:
1 Ce 0.0000 0.0000 0.0000 (multiplicity 2)  6 P 2.85-2.90
2 Ce 0.0000 0.3348 0.0000 (multiplicity 4)  6 P 2.86-2.90
3 Pm 0.0000 0.5000 0.5000 (multiplicity 2)  6 P 2.90
4 Pu 0.0000 0.1670 0.5000 (multiplicity 4)  6 P 2.85
5 P 0.2423 0.0000 0.7468 (multiplicity 4)  2 Pu 2.85, 3 Ce 2.85-2.89, 1 Pm 2.90
6 P 0.2474 0.1699 0.2523 (multiplicity 8)  2 Pu 2.85, 3 Ce 2.86-2.90, 1 Pm 2.90

crystal system	monoclinic
formation enthalpy at 0 K	-1.3963	eV/atom
density	7.22	g/cm3

=====

Please write out number 4 again, unchanged.
The following is a GGA-PBE calculation of crystalline CePm3P4 at its relaxed geometry, from Alexandria.

a b c (Å): 7.1306 8.2302 7.1320
angles (deg): 90.00 109.46 90.00
Last column: nearest neighbours and their distance in Å.
Space group P2/c (No. 13)
Inequivalent atoms, fractional coordinates:
1 Ce 0.0000 0.1258 0.2500 (multiplicity 2)  6 P 2.87-2.89
2 Pm 0.0000 0.3761 0.7500 (multiplicity 2)  6 P 2.91-2.92
3 Pm 0.5000 0.1260 0.7500 (multiplicity 2)  6 P 2.90-2.95
4 Pm 0.5000 0.3763 0.2500 (multiplicity 2)  6 P 2.90-2.95
5 P 0.2446 0.1223 0.0009 (multiplicity 4)  2 Ce 2.87-2.89, 4 Pm 2.91-2.95
6 P 0.2482 0.3719 0.4967 (multiplicity 4)  1 Ce 2.87, 5 Pm 2.90-2.94

crystal system	monoclinic
formation enthalpy at 0 K	-1.5597	eV/atom
energy above the lowest structure with this stoichiometry	0	meV/atom
density	5.88	g/cm3

=====

Copy entry 9 word for word.
The following is a GGA-PBE calculation of crystalline Ce3PmPr2P6 at its relaxed geometry, from Alexandria.

a b c (Å): 7.1553 12.3950 7.1585
angles (deg): 90.00 109.47 90.00
Last column: nearest neighbours and their distance in Å.
Space group C2/m (No. 12)
Inequivalent atoms, fractional coordinates:
1 Ce 0.0000 0.0000 0.0000 (multiplicity 2)  6 P 2.88-2.90
2 Ce 0.0000 0.3329 0.0000 (multiplicity 4)  6 P 2.88-2.90
3 Pm 0.0000 0.5000 0.5000 (multiplicity 2)  6 P 2.94
4 Pr 0.0000 0.1665 0.5000 (multiplicity 4)  6 P 2.96
5 P 0.2444 0.5000 0.2409 (multiplicity 4)  3 Ce 2.88-2.90, 1 Pm 2.94, 2 Pr 2.96
6 P 0.2484 0.1655 0.2413 (multiplicity 8)  3 Ce 2.88-2.90, 1 Pm 2.94, 2 Pr 2.96

crystal system	monoclinic
formation enthalpy at 0 K	-1.5233	eV/atom
density	5.73	g/cm3

=====

What is the formula in the first record?
CePmP2